# RbNbZnAg2

A crystal of RbNbZnAg2 relaxed with PBEsol (meta-GGA SCAN, the Alexandria database).

Cell and atoms, written as POSCAR:
```
RbNbZnAg2
1.0
5.295 0.000 0.000
0.000 5.295 0.000
0.000 0.000 5.236
Rb Nb Zn Ag
1 1 1 2
Direct
0.000 0.000 0.000
0.500 0.500 0.500
0.000 0.000 0.500
0.000 0.500 0.000
0.500 0.000 0.000
```

Formation enthalpy at 0 K   1.9311 eV per atom
Fermi-level density of states   0.567 states/eV/atom
Total magnetic moment   3.38 μB/cell